{"formula": "RuBr2", "functional": "GGA-PBE", "state": "optimized geometry", "raw_formation_energy_ev_per_atom": 0.00, "relative_energy_ev_per_fu": 0.21, "cell": [[5.788, 0.000, 0.000], [0.000, 5.949, 0.000], [0.000, 0.000, 3.849]], "species": ["Ru", "Ru", "Br", "Br", "Br", "Br"], "frac_coords": [[0.000, 0.000, 0.000], [0.500, 0.500, 0.500], [0.245, 0.149, 0.500], [0.255, 0.649, 0.000], [0.745, 0.351, 0.000], [0.755, 0.851, 0.500]]}

{"formula": "La4TbTl5", "functional": "GGA-PBE", "state": "optimized geometry", "e_form_ev_per_atom": -0.41, "cell": [[3.867, 0.000, 0.000], [0.000, 3.867, 0.000], [0.000, 0.000, 20.557]], "species": ["La", "La", "La", "La", "Tb", "Tl", "Tl", "Tl", "Tl", "Tl"], "frac_coords": [[0.000, 0.000, 0.103], [0.000, 0.000, 0.308], [0.000, 0.000, 0.692], [0.000, 0.000, 0.897], [0.000, 0.000, 0.500], [0.500, 0.500, 0.000], [0.500, 0.500, 0.206], [0.500, 0.500, 0.411], [0.500, 0.500, 0.589], [0.500, 0.500, 0.794]]}

{"formula": "CoAs2Pd", "functional": "GGA-PBE", "state": "optimized geometry", "e_form_ev_per_atom": 0.05, "relative_energy_ev_per_fu": 0.20, "cell": [[0.000, 3.116, 3.116], [3.116, 0.000, 3.116], [3.116, 3.116, 0.000]], "species": ["Co", "As", "As", "Pd"], "frac_coords": [[0.000, 0.000, 0.000], [0.250, 0.250, 0.250], [0.750, 0.750, 0.750], [0.500, 0.500, 0.500]]}

{"formula": "Sm5Ho3Mg", "functional": "GGA-PBE", "state": "optimized geometry", "e_form_ev_per_atom": 0.56, "cell": [[7.353, -5.835, 0.000], [7.353, 5.835, 0.000], [-4.894, 0.000, 7.682]], "species": ["Sm", "Sm", "Sm", "Sm", "Sm", "Sm", "Sm", "Sm", "Sm", "Sm", "Ho", "Ho", "Ho", "Ho", "Ho", "Ho", "Mg", "Mg"], "frac_coords": [[0.050, 0.050, 0.348], [0.096, 0.569, 0.311], [0.243, 0.757, 0.000], [0.313, 0.313, 0.567], [0.431, 0.904, 0.689], [0.569, 0.096, 0.311], [0.687, 0.687, 0.433], [0.757, 0.243, 0.000], [0.904, 0.431, 0.689], [0.950, 0.950, 0.652], [0.142, 0.142, 0.089], [0.201, 0.201, 0.778], [0.500, 0.500, 0.000], [0.500, 0.500, 0.500], [0.799, 0.799, 0.222], [0.858, 0.858, 0.911], [0.367, 0.367, 0.140], [0.633, 0.633, 0.860]]}

{"formula": "TlCrW2", "functional": "GGA-PBE", "state": "optimized geometry", "e_form_ev_per_atom": 0.73, "relative_energy_ev_per_fu": 0.49, "cell": [[1.494, 0.863, 8.912], [-1.494, 0.863, 8.912], [0.000, -1.725, 8.912]], "species": ["Tl", "Cr", "W", "W"], "frac_coords": [[0.000, 0.000, 0.000], [0.755, 0.755, 0.755], [0.239, 0.239, 0.239], [0.488, 0.488, 0.488]]}

{"formula": "DyPaRhN3", "functional": "GGA-PBE", "state": "optimized geometry", "raw_formation_energy_ev_per_atom": -1.01, "cell": [[6.608, 0.000, 0.000], [0.000, 3.412, 0.000], [-1.903, 0.000, 7.899]], "species": ["Dy", "Dy", "Pa", "Pa", "Rh", "Rh", "N", "N", "N", "N", "N", "N"], "frac_coords": [[0.073, 0.250, 0.324], [0.927, 0.750, 0.676], [0.420, 0.750, 0.676], [0.580, 0.250, 0.324], [0.172, 0.250, 0.987], [0.828, 0.750, 0.013], [0.182, 0.250, 0.618], [0.250, 0.750, 0.916], [0.361, 0.750, 0.379], [0.639, 0.250, 0.621], [0.750, 0.250, 0.084], [0.818, 0.750, 0.382]]}

{"formula": "Ba2LaCu", "functional": "GGA-PBE", "state": "optimized geometry", "e_form_ev_per_atom": 0.39, "relative_energy_ev_per_fu": 1.39, "cell": [[-2.505, 2.505, 6.020], [2.505, -2.505, 6.020], [2.505, 2.505, -6.020]], "species": ["Ba", "Ba", "La", "Cu"], "frac_coords": [[0.000, 0.000, 0.000], [0.750, 0.250, 0.500], [0.250, 0.750, 0.500], [0.500, 0.500, 0.000]]}

{"formula": "TbLuAlRh", "functional": "GGA-PBE", "state": "optimized geometry", "e_form_ev_per_atom": -0.58, "cell": [[0.000, 3.501, 3.501], [3.501, 0.000, 3.501], [3.501, 3.501, 0.000]], "species": ["Tb", "Lu", "Al", "Rh"], "frac_coords": [[0.000, 0.000, 0.000], [0.500, 0.500, 0.500], [0.750, 0.750, 0.750], [0.250, 0.250, 0.250]]}